1.
This record from the Alexandria database describes an optimized crystal structure of PmMgGePb. The functional is PBE-GGA.

Total magnetic moment in μB per formula unit: 0.000
DOS(E_F) in states/eV/f.u.: 2.34
Energy of formation in eV/atom: -0.243
Energy in Ry/atom: -0.2874

Cell and atoms, written as POSCAR:
```
PmMgGePb
1.0
-2.834 2.708 3.472
-4.922 1.375 -1.142
-4.002 -2.298 2.475
Pb Ge Pm Mg
1 1 1 1
direct
0.750 0.750 0.750
0.250 0.250 0.250
0.000 0.000 0.000
0.500 0.500 0.500
```


2.
This record from the Alexandria database describes an optimized crystal structure of PuMgGePb. The functional is PBE-GGA.

Total magnetic moment in μB per formula unit: 5.446
DOS(E_F) in states/eV/f.u.: 11.72
Energy of formation in eV/atom: -0.120
Energy in Ry/atom: -0.4545

Cell and atoms, written as POSCAR:
```
PuMgGePb
1.0
-3.132 -3.549 -2.030
0.796 -4.995 0.970
-3.265 -2.588 3.028
Pb Mg Pu Ge
1 1 1 1
direct
0.500 0.500 0.500
0.750 0.750 0.750
0.250 0.250 0.250
0.000 0.000 0.000
```


3.
This record from the Alexandria database describes an optimized crystal structure of MgGe2PbS6. The functional is PBE-GGA.

Total magnetic moment in μB per formula unit: 0.000
Energy in Ry/atom: -0.3260

Cell and atoms, written as POSCAR:
```
MgGe2PbS6
1.0
-3.738 4.615 -2.425
-6.572 -5.161 -2.596
-4.343 1.876 7.361
S Pb Ge Mg
12 2 4 2
direct
0.595 0.148 0.600
0.401 0.572 0.721
0.405 0.852 0.400
0.901 0.721 0.572
0.311 0.221 0.016
0.599 0.428 0.279
0.095 0.600 0.148
0.905 0.400 0.852
0.689 0.779 0.984
0.189 0.984 0.779
0.099 0.279 0.428
0.811 0.016 0.221
0.250 0.895 0.105
0.750 0.105 0.895
0.731 0.615 0.784
0.231 0.784 0.615
0.769 0.216 0.385
0.269 0.385 0.216
0.250 0.294 0.706
0.750 0.706 0.294
```


4.
This record from the Alexandria database describes an optimized crystal structure of MgGePbS4. The functional is PBE-GGA.

Total magnetic moment in μB per formula unit: 0.000
Energy in Ry/atom: -0.3213

Cell and atoms, written as POSCAR:
```
MgGePbS4
1.0
-5.308 -3.356 1.017
3.344 -5.748 -1.519
3.597 0.271 6.896
S Pb Mg Ge
8 2 2 2
direct
0.990 0.503 0.274
0.526 0.250 0.415
0.010 0.003 0.726
0.582 0.250 0.880
0.010 0.497 0.726
0.990 0.997 0.274
0.474 0.750 0.585
0.418 0.750 0.120
0.220 0.250 0.055
0.780 0.750 0.945
0.254 0.250 0.594
0.746 0.750 0.406
0.767 0.250 0.675
0.233 0.750 0.325
```


5.
This record from the Alexandria database describes an optimized crystal structure of MgTlGe2Pb. The functional is PBE-GGA.

Total magnetic moment in μB per formula unit: 0.000
DOS(E_F) in states/eV/f.u.: 1.95
Energy of formation in eV/atom: 0.507
Energy in Ry/atom: -0.2112

Cell and atoms, written as POSCAR:
```
MgTlGe2Pb
1.0
-2.186 -4.775 -0.926
4.513 -1.613 -2.338
2.032 -1.952 5.269
Pb Mg Ge Tl
1 1 2 1
direct
0.000 0.000 0.500
0.000 0.000 0.000
0.500 0.000 0.000
0.000 0.500 0.000
0.500 0.500 0.500
```


6.
This record from the Alexandria database describes an optimized crystal structure of Mg2GePd. The functional is PBE-GGA.

Total magnetic moment in μB per formula unit: 0.000
DOS(E_F) in states/eV/f.u.: 1.09
Energy of formation in eV/atom: -0.101
Energy in Ry/atom: -0.2463

Cell and atoms, written as POSCAR:
```
Mg2GePd
1.0
7.383 0.000 0.000
0.000 7.383 0.000
3.691 3.691 2.843
Mg Ge Pd
4 2 2
direct
0.875 0.891 0.750
0.109 0.625 0.250
0.375 0.359 0.750
0.641 0.125 0.250
0.250 0.750 0.500
0.500 0.500 0.000
0.750 0.250 0.500
0.000 0.000 0.000
```


> The highest total magnetic moment belongs to which entry?

PuMgGePb